First-principles (PBE with a Hubbard U) data for a relaxed structure of SrFe3P4HO16, as listed in Alexandria via LeMat-Bulk.

DOS at the Fermi energy = 0.0 states/eV/cell
Symmetry = P2_1/c (14)
Spin magnetization = 15.09 μB per formula unit
Energy = -701.646 eV for the cell shown

abc: 7.392 8.596 19.929
angles: 85.36 90.00 90.00
Positions (direct):
Sr 0.562 0.299 0.063
Sr 0.062 0.701 0.437
Sr 0.438 0.701 0.937
Sr 0.938 0.299 0.563
Fe 0.933 0.721 0.918
Fe 0.433 0.279 0.582
Fe 0.067 0.279 0.082
Fe 0.567 0.721 0.418
Fe 0.495 0.769 0.713
Fe 0.995 0.231 0.787
Fe 0.505 0.231 0.287
Fe 0.005 0.769 0.213
Fe 0.399 0.237 0.810
Fe 0.899 0.763 0.690
Fe 0.601 0.763 0.190
Fe 0.101 0.237 0.310
P 0.708 0.057 0.900
P 0.208 0.943 0.600
P 0.292 0.943 0.100
P 0.792 0.057 0.400
P 0.185 0.885 0.809
P 0.685 0.115 0.691
P 0.815 0.115 0.191
P 0.315 0.885 0.309
P 0.708 0.518 0.817
P 0.208 0.482 0.683
P 0.292 0.482 0.183
P 0.792 0.518 0.317
P 0.817 0.615 0.067
P 0.317 0.385 0.433
P 0.183 0.385 0.933
P 0.683 0.615 0.567
H 0.867 0.211 0.963
H 0.367 0.789 0.537
H 0.133 0.789 0.037
H 0.633 0.211 0.463
O 0.116 0.552 0.910
O 0.616 0.448 0.590
O 0.884 0.448 0.090
O 0.384 0.552 0.410
O 0.958 0.697 0.016
O 0.458 0.303 0.484
O 0.042 0.303 0.984
O 0.542 0.697 0.516
O 0.734 0.603 0.883
O 0.234 0.397 0.617
O 0.266 0.397 0.117
O 0.766 0.603 0.383
O 0.134 0.858 0.886
O 0.634 0.142 0.614
O 0.866 0.142 0.114
O 0.366 0.858 0.386
O 0.730 0.884 0.928
O 0.230 0.116 0.572
O 0.270 0.116 0.072
O 0.770 0.884 0.428
O 0.701 0.647 0.757
O 0.201 0.353 0.743
O 0.299 0.353 0.243
O 0.799 0.647 0.257
O 0.690 0.717 0.628
O 0.190 0.283 0.872
O 0.310 0.283 0.372
O 0.810 0.717 0.128
O 0.698 0.936 0.711
O 0.198 0.064 0.789
O 0.302 0.064 0.289
O 0.802 0.936 0.211
O 0.348 0.905 0.655
O 0.848 0.095 0.845
O 0.652 0.095 0.345
O 0.152 0.905 0.155
O 0.369 0.586 0.693
O 0.869 0.414 0.807
O 0.631 0.414 0.307
O 0.131 0.586 0.193
O 0.373 0.809 0.801
O 0.873 0.191 0.699
O 0.627 0.191 0.199
O 0.127 0.809 0.301
O 0.537 0.189 0.731
O 0.037 0.811 0.769
O 0.463 0.811 0.269
O 0.963 0.189 0.231
O 0.512 0.087 0.878
O 0.012 0.913 0.622
O 0.488 0.913 0.122
O 0.988 0.087 0.378
O 0.526 0.431 0.825
O 0.026 0.569 0.675
O 0.474 0.569 0.175
O 0.974 0.431 0.325
O 0.740 0.167 0.960
O 0.240 0.833 0.540
O 0.260 0.833 0.040
O 0.760 0.167 0.460
O 0.635 0.597 0.033
O 0.135 0.403 0.467
O 0.365 0.403 0.967
O 0.865 0.597 0.533